1.
First-principles (PBE) data for a geometry-optimized CaMgBN2 structure, as listed in Alexandria.

The space group is P2/c (No. 13) and the conventional cell measures 5.2539, 4.5759 and 6.2331 Å, with angles of 90.00, 90.06 and 90.00 degrees. The inequivalent atoms are Ca at (0.0000, 0.0003, 0.2500), Mg at (0.5000, 0.5001, 0.2500), B at (0.5000, 0.0000, 0.0000) and N at (0.3160, 0.2107, 0.0001).

As for the energy relative to the elements, uncorrected: -0.688 eV per atom. For the excess energy over the best structure of this formula in the dataset, the calculation gives 0.0 meV/atom. The calculation puts the total energy at -6.073 eV/atom.

---

2.
First-principles (PBE) data for a geometry-optimized NaCa2MgB structure, as listed in Alexandria.

The space group is P4/mmm (No. 123) and the conventional cell measures 5.3073, 5.3073 and 5.2759 Å, with angles of 90.00, 90.00 and 90.00 degrees. The inequivalent atoms are Na at (0.0000, 0.0000, 0.0000), Ca at (0.0000, 0.5000, 0.5000), Mg at (0.5000, 0.5000, 0.0000) and B at (0.0000, 0.0000, 0.5000).

The calculation puts the formation energy at 397.5 meV per atom. For the excess energy over the best structure of this formula in the dataset, the calculation gives 0.0 meV/atom. The calculation puts the total energy at -2.321 eV/atom.

---

- What is the formula in the first record?
  CaMgBN2